! PBE KPm4Ge3O12, relaxed; values from VASP
&SYSTEM
  ibrav = 0, nat = 20, ntyp = 4
/
ATOMIC_SPECIES
K 39.10 K.upf
Pm 145.00 Pm.upf
Ge 72.64 Ge.upf
O 16.00 O.upf
CELL_PARAMETERS angstrom
-0.585 -0.914 -7.200
6.761 -1.679 2.118
-4.756 -4.346 3.392
ATOMIC_POSITIONS angstrom
K 0.000 0.000 0.000
Pm -0.292 -0.457 -3.600
Pm 0.710 -3.469 -0.845
Pm 3.380 -0.840 1.059
Pm -2.378 -2.173 1.696
Ge 1.002 -3.013 2.755
Ge 3.088 -1.296 -2.541
Ge -2.670 -2.630 -1.904
O 4.643 -2.523 -0.025
O -3.223 -4.415 -1.665
O 2.915 -4.225 -1.256
O 3.258 -2.532 -3.954
O -0.865 -2.549 -4.547
O 1.636 -2.440 1.075
O 1.260 -1.693 -2.310
O 2.285 -4.389 2.858
O -1.495 -2.714 -0.433
O -1.838 -4.407 2.264
O -0.216 -4.498 -2.765
O 0.160 -5.246 0.620
! formation energy from raw total energies	-2.29	eV/atom
! VASP energy	-6.960	eV per atom
! N(E_F)	5.51	states/eV/f.u.
! ρ	5.8	g/cm³

=====

! PBE KPmGe2O6, relaxed; values from VASP
&SYSTEM
  ibrav = 0, nat = 20, ntyp = 4
/
ATOMIC_SPECIES
K 39.10 K.upf
Pm 145.00 Pm.upf
Ge 72.64 Ge.upf
O 16.00 O.upf
CELL_PARAMETERS angstrom
5.321 -0.426 -0.442
1.189 7.541 -0.046
1.189 -0.325 7.534
ATOMIC_POSITIONS angstrom
K 2.519 6.734 0.518
K 5.179 0.056 6.528
Pm 2.519 1.811 5.262
Pm 5.179 4.978 1.784
Ge 2.872 5.701 4.557
Ge 2.166 2.660 1.401
Ge 4.826 1.089 2.489
Ge 5.532 4.129 5.645
O 3.115 7.121 5.532
O 1.923 1.738 -0.054
O 4.583 -0.331 1.514
O 5.775 5.052 7.100
O 3.404 5.813 2.931
O 1.634 4.289 1.349
O 4.294 0.977 4.115
O 6.065 2.500 5.697
O 6.385 4.860 4.152
O 3.974 2.607 1.814
O 1.314 1.929 2.894
O 3.724 4.182 5.232
! formation energy from raw total energies	-2.13	eV/atom
! VASP energy	-6.609	eV per atom
! N(E_F)	0.00	states/eV/f.u.
! ρ	4.6	g/cm³

=====

! PBE K2Pm2GeO6, relaxed; values from VASP
&SYSTEM
  ibrav = 0, nat = 11, ntyp = 4
/
ATOMIC_SPECIES
K 39.10 K.upf
Pm 145.00 Pm.upf
Ge 72.64 Ge.upf
O 16.00 O.upf
CELL_PARAMETERS angstrom
5.865 0.012 0.137
-2.889 5.105 0.137
-0.973 -1.672 6.321
ATOMIC_POSITIONS angstrom
K 4.496 0.809 0.137
K -1.519 4.308 0.137
Pm -0.445 2.564 3.298
Pm 2.448 0.880 3.298
Ge -0.487 -0.836 3.160
O 1.650 2.836 4.442
O -1.372 0.604 4.277
O 0.354 0.608 2.154
O 1.204 -0.894 4.277
O 3.376 2.840 2.319
O 0.800 4.338 2.319
! formation energy from raw total energies	-2.31	eV/atom
! VASP energy	-6.494	eV per atom
! N(E_F)	0.00	states/eV/f.u.
! ρ	4.6	g/cm³

=====

! PBE K4Pr3GeO8, relaxed; values from VASP
&SYSTEM
  ibrav = 0, nat = 16, ntyp = 4
/
ATOMIC_SPECIES
K 39.10 K.upf
Pr 140.91 Pr.upf
Ge 72.64 Ge.upf
O 16.00 O.upf
CELL_PARAMETERS angstrom
-6.630 1.905 -1.927
-2.614 -2.353 6.668
5.281 4.840 -0.073
ATOMIC_POSITIONS angstrom
K -3.315 0.953 -0.964
K -0.675 3.373 -1.000
K 0.000 0.000 0.000
K 2.640 2.420 -0.036
Pr -4.622 -0.224 2.370
Pr -1.982 2.196 2.334
Pr 1.333 1.244 3.298
Ge -1.307 -1.176 3.334
O 1.866 3.488 4.094
O -0.936 0.924 4.134
O 0.257 2.391 1.478
O -1.654 4.500 3.071
O -2.310 -0.107 1.597
O -4.221 2.002 3.191
O -3.027 3.469 0.534
O -5.830 0.904 0.574
! formation energy from raw total energies	-2.18	eV/atom
! VASP energy	-6.120	eV per atom
! N(E_F)	1.65	states/eV/f.u.
! ρ	4.6	g/cm³

=====

! PBE KPrGeO4, relaxed; values from VASP
&SYSTEM
  ibrav = 0, nat = 14, ntyp = 4
/
ATOMIC_SPECIES
K 39.10 K.upf
Pr 140.91 Pr.upf
Ge 72.64 Ge.upf
O 16.00 O.upf
CELL_PARAMETERS angstrom
5.988 0.000 0.212
0.000 5.902 0.000
-2.095 0.000 7.211
ATOMIC_POSITIONS angstrom
K 2.122 4.427 6.726
K 1.771 1.476 0.696
Pr 3.771 4.427 3.397
Pr 0.121 1.476 4.025
Ge 0.848 4.427 2.438
Ge 3.045 1.476 4.984
O 4.190 2.844 5.152
O -0.298 5.795 2.271
O -0.298 3.058 2.271
O 4.190 0.107 5.152
O 2.306 4.427 1.446
O 1.586 1.476 5.977
O 1.438 4.427 4.124
O 2.454 1.476 3.299
! formation energy from raw total energies	-2.32	eV/atom
! VASP energy	-6.653	eV per atom
! N(E_F)	0.00	states/eV/f.u.
! ρ	4.1	g/cm³

=====

! PBE KPrGe2O6, relaxed; values from VASP
&SYSTEM
  ibrav = 0, nat = 20, ntyp = 4
/
ATOMIC_SPECIES
K 39.10 K.upf
Pr 140.91 Pr.upf
Ge 72.64 Ge.upf
O 16.00 O.upf
CELL_PARAMETERS angstrom
7.499 0.605 0.680
-0.318 7.517 0.680
-1.308 -1.480 5.406
ATOMIC_POSITIONS angstrom
K 0.674 5.981 2.032
K 5.200 0.662 4.734
Pr 4.186 2.876 2.032
Pr 1.688 3.767 4.734
Ge 1.208 0.049 4.493
Ge 5.319 4.698 4.976
Ge 4.665 6.594 2.273
Ge 0.555 1.945 1.790
O 6.477 3.096 2.000
O 4.248 0.575 2.063
O -0.603 3.546 4.766
O 1.626 6.068 4.703
O 1.241 1.119 0.317
O 5.570 6.014 3.746
O 4.633 5.524 6.449
O 0.304 0.628 3.019
O 1.723 3.100 2.426
O 3.662 5.293 1.637
O 4.151 3.542 4.340
O 2.212 1.350 5.129
! formation energy from raw total energies	-2.18	eV/atom
! VASP energy	-6.666	eV per atom
! N(E_F)	0.00	states/eV/f.u.
! ρ	4.4	g/cm³